MnAgIr | the Alexandria database | PBE | relaxed; energy of formation from the pure elements = 0.19 eV per atom; raw total energy = -6.7661 eV/atom; ΔE to the lowest computed polymorph = 0.017 eV/atom
1.0
2.803 0.000 0.000
-1.401 2.427 0.000
0.000 0.000 6.780
Mn Ag Ir
1 1 1
Direct
0.000 0.000 0.000
0.667 0.333 0.341
0.333 0.667 0.706